A relaxed structure of Si2RuPt. Source: the Alexandria database, functional PBE-GGA.

```
Si2RuPt
1.0
3.092 0.000 0.000
0.000 3.092 0.000
0.000 0.000 5.728
Si Ru Pt
2 1 1
Direct
0.000 0.000 0.244 Si
0.000 0.000 0.756 Si
0.500 0.500 0.000 Ru
0.500 0.500 0.500 Pt
```

Output
Spin magnetization (μB per atom): 0.0002
Symmetry: No. 123
Uncorrected formation energy (eV per atom): -0.3693
Uncorrected energy (eV for the cell shown): -27.6

***

A relaxed structure of Mn4BeAu. Source: the Alexandria database, functional PBE-GGA.

```
Mn4BeAu
1.0
0.000 3.332 3.332
3.332 0.000 3.332
3.332 3.332 0.000
Mn Be Au
4 1 1
Direct
0.377 0.377 0.377 Mn
0.377 0.377 0.870 Mn
0.377 0.870 0.377 Mn
0.870 0.377 0.377 Mn
0.750 0.750 0.750 Be
0.000 0.000 0.000 Au
```

Output
Spin magnetization (μB per atom): 0.7953
Symmetry: No. 216
Uncorrected energy (eV for the cell shown): -41.3

***

A relaxed structure of NaLiDy2S4. Source: the Alexandria database, functional PBE-GGA.

```
NaLiDy2S4
1.0
-3.933 3.968 5.590
3.933 -3.968 5.590
3.933 3.968 -5.590
Na Li Dy S
2 2 4 8
Direct
0.500 0.000 0.000 Na
0.500 0.500 0.500 Na
0.000 0.000 0.000 Li
0.500 0.000 0.500 Li
0.000 0.000 0.500 Dy
0.000 0.500 0.000 Dy
0.000 0.500 0.500 Dy
0.500 0.500 0.000 Dy
0.235 0.747 0.489 S
0.242 0.253 0.989 S
0.245 0.250 0.505 S
0.245 0.740 0.995 S
0.755 0.260 0.005 S
0.755 0.750 0.495 S
0.758 0.747 0.011 S
0.765 0.253 0.511 S
```

Output
Spin magnetization (μB per atom): 0.0000
Symmetry: No. 74
Uncorrected formation energy (eV per atom): -1.8387
Uncorrected energy (eV for the cell shown): -87.3

***

A relaxed structure of AcTcRu2O8. Source: the Alexandria database, functional PBE-GGA.

```
AcTcRu2O8
1.0
3.338 -3.485 0.000
3.338 3.485 0.000
0.000 0.000 6.601
Ac Tc Ru O
1 1 2 8
Direct
0.000 0.000 0.000 Ac
0.000 0.000 0.500 Tc
0.500 0.500 0.262 Ru
0.500 0.500 0.738 Ru
0.211 0.211 0.298 O
0.211 0.211 0.702 O
0.295 0.705 0.500 O
0.338 0.662 0.000 O
0.662 0.338 0.000 O
0.705 0.295 0.500 O
0.789 0.789 0.298 O
0.789 0.789 0.702 O
```

Output
Spin magnetization (μB per atom): 0.1832
Symmetry: No. 65
Uncorrected formation energy (eV per atom): -1.4656
Uncorrected energy (eV for the cell shown): -90.3

***

A relaxed structure of SrBeTc2. Source: the Alexandria database, functional PBE-GGA.

```
SrBeTc2
1.0
2.094 1.209 5.558
-2.094 1.209 5.558
0.000 -2.418 5.558
Sr Be Tc
1 1 2
Direct
0.000 0.000 0.000 Sr
0.186 0.186 0.186 Be
0.501 0.501 0.501 Tc
0.807 0.807 0.807 Tc
```

Output
Spin magnetization (μB per atom): 0.0000
Symmetry: No. 160
Uncorrected energy (eV for the cell shown): -25.4

***

A relaxed structure of BaTaAs. Source: the Alexandria database, functional PBE-GGA.

```
BaTaAs
1.0
4.058 0.000 0.000
0.000 4.058 0.000
0.000 0.000 11.022
Ba Ta As
2 2 2
Direct
0.250 0.250 0.194 Ba
0.750 0.750 0.806 Ba
0.250 0.750 0.500 Ta
0.750 0.250 0.500 Ta
0.250 0.250 0.664 As
0.750 0.750 0.336 As
```

Output
Spin magnetization (μB per atom): 0.0000
Symmetry: No. 129
E above lowest polymorph (meV/atom): 0.0
Uncorrected energy (eV for the cell shown): -40.6

***

A relaxed structure of Al2FeNi. Source: the Alexandria database, functional PBE-GGA.

```
Al2FeNi
1.0
1.352 0.780 8.044
-1.352 0.780 8.044
0.000 -1.561 8.044
Al Fe Ni
2 1 1
Direct
0.248 0.248 0.248 Al
0.752 0.752 0.752 Al
0.000 0.000 0.000 Fe
0.500 0.500 0.500 Ni
```

Output
Spin magnetization (μB per atom): 0.4697
Symmetry: No. 166
Uncorrected energy (eV for the cell shown): -22.9

***

A relaxed structure of Gd2CoBr. Source: the Alexandria database, functional PBE-GGA.

```
Gd2CoBr
1.0
3.390 0.000 0.000
0.000 3.390 0.000
0.000 0.000 8.104
Gd Co Br
2 1 1
Direct
0.000 0.000 0.205 Gd
0.000 0.000 0.795 Gd
0.500 0.500 0.000 Co
0.500 0.500 0.500 Br
```

Output
Spin magnetization (μB per atom): 3.4225
Symmetry: No. 123
Uncorrected formation energy (eV per atom): -0.5918
E above lowest polymorph (meV/atom): 170.3
Uncorrected energy (eV for the cell shown): -39.3

***

A relaxed structure of CoBi. Source: the Alexandria database, functional PBE-GGA.

```
CoBi
1.0
0.000 2.930 2.930
2.930 0.000 2.930
2.930 2.930 0.000
Co Bi
1 1
Direct
0.000 0.000 0.000 Co
0.750 0.750 0.750 Bi
```

Output
Spin magnetization (μB per atom): 0.0000
Symmetry: No. 216
Uncorrected energy (eV for the cell shown): -9.6

***

A relaxed structure of TlTe2As. Source: the Alexandria database, functional PBE-GGA.

```
TlTe2As
1.0
-4.056 4.056 4.472
4.056 -4.056 4.472
4.056 4.056 -4.472
Tl Te As
2 4 2
Direct
0.000 0.000 0.000 Tl
0.750 0.250 0.500 Tl
0.184 0.625 0.059 Te
0.375 0.434 0.559 Te
0.566 0.125 0.941 Te
0.875 0.816 0.441 Te
0.250 0.750 0.500 As
0.500 0.500 0.000 As
```

Output
Spin magnetization (μB per atom): 0.0000
Symmetry: No. 122
Uncorrected formation energy (eV per atom): 0.0094
Uncorrected energy (eV for the cell shown): -26.5

***

A relaxed structure of SrNbAuO5. Source: the Alexandria database, functional PBE-GGA.

```
SrNbAuO5
1.0
3.130 -5.005 0.000
3.130 5.005 0.000
-2.443 0.000 7.372
Sr Nb Au O
2 2 2 10
Direct
0.190 0.810 0.750 Sr
0.810 0.190 0.250 Sr
0.500 0.500 0.000 Nb
0.500 0.500 0.500 Nb
0.162 0.838 0.250 Au
0.838 0.162 0.750 Au
0.147 0.174 0.925 O
0.174 0.147 0.425 O
0.283 0.676 0.439 O
0.324 0.717 0.061 O
0.446 0.554 0.750 O
0.554 0.446 0.250 O
0.676 0.283 0.939 O
0.717 0.324 0.561 O
0.826 0.853 0.575 O
0.853 0.826 0.075 O
```

Output
Spin magnetization (μB per atom): 0.0000
Symmetry: No. 15
Uncorrected formation energy (eV per atom): -1.7911
Uncorrected energy (eV for the cell shown): -108.3

***

A relaxed structure of DyHfZr2As4. Source: the Alexandria database, functional PBE-GGA.

```
DyHfZr2As4
1.0
6.783 0.000 0.000
0.000 3.906 0.000
-2.248 0.000 6.414
Dy Hf Zr As
1 1 2 4
Direct
0.000 0.000 0.000 Dy
0.500 0.500 0.000 Hf
0.000 0.500 0.500 Zr
0.500 0.000 0.500 Zr
0.257 0.000 0.750 As
0.259 0.500 0.256 As
0.741 0.500 0.744 As
0.743 0.000 0.250 As
```

Output
Spin magnetization (μB per atom): 0.0000
Symmetry: No. 10
Uncorrected energy (eV for the cell shown): -59.5

***

A relaxed structure of Th4AlTc. Source: the Alexandria database, functional PBE-GGA.

```
Th4AlTc
1.0
-3.500 3.500 3.468
3.500 -3.500 3.468
3.500 3.500 -3.468
Th Al Tc
4 1 1
Direct
0.138 0.171 0.586 Th
0.448 0.862 0.032 Th
0.585 0.552 0.414 Th
0.829 0.415 0.968 Th
0.000 0.000 0.000 Al
0.250 0.750 0.500 Tc
```

Output
Spin magnetization (μB per atom): 0.0000
Symmetry: No. 82
E above lowest polymorph (meV/atom): 255.1
Uncorrected energy (eV for the cell shown): -43.3

***

A relaxed structure of Sr2FeW. Source: the Alexandria database, functional PBE-GGA.

```
Sr2FeW
1.0
4.359 0.000 0.000
0.000 4.359 0.000
0.000 0.000 5.004
Sr Fe W
2 1 1
Direct
0.000 0.500 0.000 Sr
0.500 0.000 0.000 Sr
0.000 0.000 0.500 Fe
0.500 0.500 0.500 W
```

Output
Spin magnetization (μB per atom): 0.5540
Symmetry: No. 123
E above lowest polymorph (meV/atom): 905.8
Uncorrected energy (eV for the cell shown): -19.1

***

A relaxed structure of CsTe2AsO8. Source: the Alexandria database, functional PBE-GGA.

```
CsTe2AsO8
1.0
4.673 -2.926 0.000
4.673 2.926 0.000
-2.864 0.000 9.184
Cs Te As O
1 2 1 8
Direct
0.000 0.000 0.000 Cs
0.204 0.204 0.685 Te
0.796 0.796 0.315 Te
0.500 0.500 0.500 As
0.176 0.671 0.333 O
0.291 0.291 0.534 O
0.329 0.824 0.667 O
0.333 0.333 0.869 O
0.667 0.667 0.131 O
0.671 0.176 0.333 O
0.709 0.709 0.466 O
0.824 0.329 0.667 O
```

Output
Spin magnetization (μB per atom): 0.0000
Symmetry: No. 12
Uncorrected formation energy (eV per atom): -0.9308
Uncorrected energy (eV for the cell shown): -62.6

***

A relaxed structure of Y8Te3P3Se. Source: the Alexandria database, functional PBE-GGA.

```
Y8Te3P3Se
1.0
4.097 2.366 6.962
-4.097 2.366 6.962
0.000 -4.731 6.962
Y Te P Se
8 3 3 1
Direct
0.224 0.748 0.748 Y
0.236 0.236 0.236 Y
0.252 0.252 0.776 Y
0.252 0.776 0.252 Y
0.748 0.224 0.748 Y
0.748 0.748 0.224 Y
0.764 0.764 0.764 Y
0.776 0.252 0.252 Y
0.000 0.500 0.500 Te
0.500 0.000 0.500 Te
0.500 0.500 0.000 Te
0.000 0.000 0.500 P
0.000 0.500 0.000 P
0.500 0.000 0.000 P
0.500 0.500 0.500 Se
```

Output
Spin magnetization (μB per atom): 0.0000
Symmetry: No. 166
Uncorrected formation energy (eV per atom): -1.4651
Uncorrected energy (eV for the cell shown): -102.8

***

A relaxed structure of TlV2Bi. Source: the Alexandria database, functional PBE-GGA.

```
TlV2Bi
1.0
-2.299 2.299 9.490
2.299 -2.299 9.490
2.299 2.299 -9.490
Tl V Bi
2 4 2
Direct
0.000 0.000 0.000 Tl
0.750 0.250 0.500 Tl
0.093 0.625 0.968 V
0.375 0.343 0.468 V
0.657 0.125 0.032 V
0.875 0.907 0.532 V
0.250 0.750 0.500 Bi
0.500 0.500 0.000 Bi
```

Output
Spin magnetization (μB per atom): 1.4873
Symmetry: No. 122
Uncorrected energy (eV for the cell shown): -41.8

***

A relaxed structure of Nd6GeP2Br3. Source: the Alexandria database, functional PBE-GGA.

```
Nd6GeP2Br3
1.0
9.532 -2.102 0.000
9.532 2.102 0.000
-2.532 0.000 8.430
Nd Ge P Br
6 1 2 3
Direct
0.013 0.013 0.232 Nd
0.323 0.323 0.445 Nd
0.341 0.341 0.887 Nd
0.659 0.659 0.113 Nd
0.677 0.677 0.555 Nd
0.987 0.987 0.768 Nd
0.500 0.500 0.000 Ge
0.168 0.168 0.334 P
0.832 0.832 0.666 P
0.165 0.165 0.832 Br
0.500 0.500 0.500 Br
0.835 0.835 0.168 Br
```

Output
Spin magnetization (μB per atom): 0.0000
Symmetry: No. 12
Uncorrected formation energy (eV per atom): -1.3871
Uncorrected energy (eV for the cell shown): -65.7

***

A relaxed structure of Pr3Dy3In2. Source: the Alexandria database, functional PBE-GGA.

```
Pr3Dy3In2
1.0
2.596 -6.008 0.000
2.596 6.008 0.000
0.000 0.000 16.481
Pr Dy In
6 6 4
Direct
0.042 0.958 0.605 Pr
0.042 0.958 0.895 Pr
0.271 0.729 0.750 Pr
0.729 0.271 0.250 Pr
0.958 0.042 0.105 Pr
0.958 0.042 0.395 Pr
0.362 0.638 0.538 Dy
0.362 0.638 0.962 Dy
0.449 0.551 0.250 Dy
0.551 0.449 0.750 Dy
0.638 0.362 0.038 Dy
0.638 0.362 0.462 Dy
0.237 0.763 0.131 In
0.237 0.763 0.369 In
0.763 0.237 0.631 In
0.763 0.237 0.869 In
```

Output
Spin magnetization (μB per atom): 0.0000
Symmetry: No. 63
E above lowest polymorph (meV/atom): 102.9
Uncorrected energy (eV for the cell shown): -69.8

***

A relaxed structure of KPr2US5. Source: the Alexandria database, functional PBE-GGA.

```
KPr2US5
1.0
-2.521 3.617 7.023
2.521 -3.617 7.023
2.521 3.617 -7.023
K Pr U S
1 2 1 5
Direct
0.000 0.000 0.000 K
0.296 0.796 0.500 Pr
0.704 0.204 0.500 Pr
0.500 0.500 0.000 U
0.114 0.351 0.763 S
0.412 0.649 0.763 S
0.500 0.000 0.500 S
0.588 0.351 0.237 S
0.886 0.649 0.237 S
```

Output
Spin magnetization (μB per atom): 0.2684
Symmetry: No. 71
Uncorrected formation energy (eV per atom): -1.6529
Uncorrected energy (eV for the cell shown): -57.5